1.
ScAsIrO, optimized geometry, DFT PBE-GGA; spin magnetization = 0.00 Bohr magnetons per cell; energy above the lowest structure with this stoichiometry = 17.01 kcal/mol of atoms; space-group type = P4/nmm, No. 129; VASP energy = -56.8 eV for the cell shown
1.0
5.4027 0.0000 0.0000
0.0000 5.4027 0.0000
0.0000 0.0000 4.5129
Sc As Ir O
2 2 2 2
Cartesian
1.3507 4.0520 0.0000
4.0520 1.3507 0.0000
1.3507 1.3507 2.2282
4.0520 4.0520 2.2847
1.3507 1.3507 4.4859
4.0520 4.0520 0.0269
1.3507 4.0520 2.2564
4.0520 1.3507 2.2564

2.
LaNiP2Ir, optimized geometry, DFT PBE-GGA; spin magnetization = 0.01 Bohr magnetons per cell; energy above the lowest structure with this stoichiometry = 0.27 kcal/mol of atoms; space-group type = P4/nmm, No. 129; VASP energy = -70.5 eV for the cell shown
1.0
4.0973 0.0000 0.0000
0.0000 4.0973 0.0000
0.0000 0.0000 9.6081
La Ni P Ir
2 2 4 2
Cartesian
1.0243 1.0243 2.2815
3.0729 3.0729 7.3266
1.0243 1.0243 8.5379
3.0729 3.0729 1.0703
1.0243 1.0243 6.1788
1.0243 3.0729 0.0000
3.0729 1.0243 0.0000
3.0729 3.0729 3.4293
1.0243 3.0729 4.8041
3.0729 1.0243 4.8041

3.
RbBaZrAu, optimized geometry, DFT PBE-GGA; spin magnetization = 0.34 Bohr magnetons per cell; energy above the lowest structure with this stoichiometry = 0.00 kcal/mol of atoms; space-group type = F-43m, No. 216; VASP energy = -12.3 eV for the cell shown
1.0
0.0000 3.9071 3.9071
3.9071 0.0000 3.9071
3.9071 3.9071 0.0000
Rb Ba Zr Au
1 1 1 1
Cartesian
0.0000 0.0000 0.0000
5.8607 5.8607 5.8607
1.9536 1.9536 1.9536
3.9071 3.9071 3.9071

4.
Rb2NaOsO6, optimized geometry, DFT PBE-GGA; spin magnetization = 1.00 Bohr magnetons per cell; energy above the lowest structure with this stoichiometry = 0.00 kcal/mol of atoms; space-group type = Fm-3m, No. 225; VASP energy = -56.6 eV for the cell shown
1.0
0.0000 4.2073 4.2073
4.2073 0.0000 4.2073
4.2073 4.2073 0.0000
Rb Na Os O
2 1 1 6
Cartesian
2.1037 2.1037 2.1037
6.3110 6.3110 6.3110
0.0000 0.0000 0.0000
4.2073 4.2073 4.2073
4.2073 4.2073 2.3441
4.2073 2.3441 4.2073
6.0706 4.2073 4.2073
2.3441 4.2073 4.2073
4.2073 6.0706 4.2073
4.2073 4.2073 6.0706

5.
NdNpN4, optimized geometry, DFT PBE-GGA; spin magnetization = 0.01 Bohr magnetons per cell; space-group type = C2/m, No. 12; VASP energy = -56.6 eV for the cell shown
1.0
3.0722 -2.2497 0.0000
3.0722 2.2497 0.0000
-1.6421 0.0000 5.8608
Nd Np N
1 1 4
Cartesian
0.0000 0.0000 0.0000
2.2511 0.0000 2.9304
-0.1706 0.0000 2.8005
2.1902 0.0000 1.0320
2.3121 0.0000 4.8288
4.6728 0.0000 3.0603

6.
YErAlCo2, optimized geometry, DFT PBE-GGA; spin magnetization = 0.43 Bohr magnetons per cell; energy above the lowest structure with this stoichiometry = 1.98 kcal/mol of atoms; space-group type = Amm2, No. 38; VASP energy = -30.6 eV for the cell shown
1.0
3.8644 0.0000 0.0000
0.0000 1.8719 6.5414
0.0000 -1.8719 6.5414
Y Er Al Co
1 1 1 2
Cartesian
0.0000 0.0000 0.0000
0.0000 0.0000 9.5714
1.9322 0.0000 4.7813
1.9322 0.0000 2.1990
1.9322 0.0000 7.4410

7.
Li4GaOsO6, optimized geometry, DFT PBE-GGA; spin magnetization = 3.00 Bohr magnetons per cell; space-group type = C2, No. 5; VASP energy = -72.3 eV for the cell shown
1.0
2.5542 -4.4149 0.0000
2.5542 4.4149 0.0000
-1.7255 0.0000 4.7996
Li Ga Os O
4 1 1 6
Cartesian
2.5542 4.4108 0.0000
1.6915 2.9955 2.3998
1.6915 0.0000 2.3998
1.6915 -3.0074 2.3998
2.5542 1.4703 0.0000
2.5542 -1.4808 0.0000
0.8851 1.5520 1.1146
0.0721 -0.0138 3.6715
0.9086 -1.5467 1.1115
2.4979 1.5520 3.6850
3.3109 -0.0138 1.1281
2.4744 -1.5467 3.6881

8.
ZrZnCoPt, optimized geometry, DFT PBE-GGA; spin magnetization = 1.62 Bohr magnetons per cell; energy above the lowest structure with this stoichiometry = 5.90 kcal/mol of atoms; space-group type = F-43m, No. 216; formation energy = -281 meV/atom; VASP energy = -24.1 eV for the cell shown
1.0
0.0000 3.1764 3.1764
3.1764 0.0000 3.1764
3.1764 3.1764 0.0000
Zr Zn Co Pt
1 1 1 1
Cartesian
0.0000 0.0000 0.0000
1.5882 1.5882 1.5882
3.1764 3.1764 3.1764
4.7647 4.7647 4.7647

The highest VASP energy belongs to which entry? RbBaZrAu

Which formula does entry 4 have? Rb2NaOsO6

Which of these has the highest spin magnetization? Li4GaOsO6